The following is a DFT calculation (PBE+U) of a relaxed structure of VPt2RhO.

Calculated values
- M_tot: 1.17 μB/cell
- Mass density: 8.05 g/cm³
- Electronic total energy: -23.7 eV/cell
- N(E_F): 6.14 states/eV/f.u.

Lattice parameters (Å, degrees): 4.750 4.750 5.122 90.00 90.00 90.00
Space group P4/mmm (No. 123)
One atom of each set of equivalent atoms:
V 0.000 0.000 0.000
Pt 0.000 0.500 0.500
Rh 0.000 0.000 0.500
O 0.500 0.500 0.000